1.
KTmCoSe3 | PBE | optimized geometry

Lattice parameters (Å, degrees): 9.0908 3.9939 9.4898 90.00 108.69 90.00
Closest atoms and distances in Å follow each position.
Space group P2_1/m (No. 11)
Inequivalent atoms, fractional coordinates:
K  0.1992  0.2500  0.2326  7 Se 3.30-3.49
Tm  0.3311  0.7500  0.8576  6 Se 2.79-2.94
Co  0.0757  0.2500  0.5910  4 Se 2.33-2.41
Se  0.1114  0.2500  0.8536  1 Co 2.41
Se  0.1907  0.7500  0.5318  3 Co 2.33-2.40
Se  0.4596  0.7500  0.1672  3 Tm 2.79-2.82

Values from the calculation:
V, Å³/cell: 326
Final energy, Ry per atom: -0.36952


2.
HoErHg4 | PBE | optimized geometry

Lattice parameters (Å, degrees): 3.3835 4.9221 8.5268 90.00 90.02 90.00
Closest atoms and distances in Å follow each position.
Space group P2/m (No. 10)
Inequivalent atoms, fractional coordinates:
Ho  0.0000  0.0000  0.0000  12 Hg 3.30-3.32, 2 Ho 3.38
Er  0.0000  0.5000  0.5000  12 Hg 3.30-3.32, 2 Er 3.38
Hg  0.4944  0.0000  0.6665  3 Hg 2.84
Hg  0.4944  0.5000  0.1668  3 Hg 2.84

Values from the calculation:
V, Å³/cell: 142
Final energy, Ry per atom: -0.15364
Energy of formation from the pure elements, eV per atom: -0.369


Question: Among the records above, which one has the highest final energy?
Answer: HoErHg4